Record 1
Below is Co8Tc at its PBEsol-relaxed geometry, with properties calculated at the meta-GGA SCAN level.

Computed properties:
Uncorrected energy in eV per cell: -172.23
Energy of formation in meV/atom: 140.7
Symmetry: I4/mmm (139)

a b c (Å): 3.4896 5.4949 5.4949
angles (deg): 84.21 71.49 71.49
Last column: nearest neighbours and their distance in Å.
Element x y z (fractional)
Co (0.3359, 0.6641, 0.6641)  11 Co 2.42-2.47, 1 Tc 2.47
Co (0.6641, 0.3359, 0.3359)  11 Co 2.42-2.47, 1 Tc 2.47
Co (0.0000, 0.6641, 0.3359)  11 Co 2.42-2.47, 1 Tc 2.47
Co (0.3315, 0.3370, 0.0000)  10 Co 2.44-2.48, 2 Tc 2.48
Co (0.6685, 0.0000, 0.6630)  10 Co 2.44-2.48, 2 Tc 2.48
Co (0.0000, 0.3359, 0.6641)  11 Co 2.42-2.47, 1 Tc 2.47
Co (0.3315, 0.0000, 0.3370)  10 Co 2.44-2.48, 2 Tc 2.48
Co (0.6685, 0.6630, 0.0000)  10 Co 2.44-2.48, 2 Tc 2.48
Tc (0.0000, 0.0000, 0.0000)  12 Co 2.47-2.48



Record 2
Below is Co24Tc5 at its PBEsol-relaxed geometry, with properties calculated at the meta-GGA SCAN level.

Computed properties:
Uncorrected energy in eV per cell: -587.99
Energy of formation in meV/atom: 90.1
Symmetry: I-43m (217)

a b c (Å): 7.4372 7.4372 7.4372
angles (deg): 109.47 109.47 109.47
Last column: nearest neighbours and their distance in Å.
Element x y z (fractional)
Co (0.6238, 0.8157, 0.6238)  6 Co 2.24-2.43
Co (0.8081, 0.1843, 0.8081)  6 Co 2.24-2.43
Co (0.1919, 0.0000, 0.3762)  6 Co 2.24-2.43
Co (0.3762, 0.0000, 0.1919)  6 Co 2.24-2.43
Co (0.8157, 0.6238, 0.6238)  6 Co 2.24-2.43
Co (0.1843, 0.8081, 0.8081)  6 Co 2.24-2.43
Co (0.0000, 0.3762, 0.1919)  6 Co 2.24-2.43
Co (0.0000, 0.1919, 0.3762)  6 Co 2.24-2.43
Co (0.6238, 0.6238, 0.8157)  6 Co 2.24-2.43
Co (0.8081, 0.8081, 0.1843)  6 Co 2.24-2.43
Co (0.3762, 0.1919, 0.0000)  6 Co 2.24-2.43
Co (0.1919, 0.3762, 0.0000)  6 Co 2.24-2.43
Co (0.6009, 0.2815, 0.6009)  7 Co 2.27-2.54, 1 Tc 2.46
Co (0.3194, 0.7185, 0.3194)  7 Co 2.27-2.54, 1 Tc 2.46
Co (0.6806, 0.0000, 0.3991)  7 Co 2.27-2.54, 1 Tc 2.46
Co (0.3991, 0.0000, 0.6806)  7 Co 2.27-2.54, 1 Tc 2.46
Co (0.2815, 0.6009, 0.6009)  7 Co 2.27-2.54, 1 Tc 2.46
Co (0.7185, 0.3194, 0.3194)  7 Co 2.27-2.54, 1 Tc 2.46
Co (0.0000, 0.3991, 0.6806)  7 Co 2.27-2.54, 1 Tc 2.46
Co (0.0000, 0.6806, 0.3991)  7 Co 2.27-2.54, 1 Tc 2.46
Co (0.6009, 0.6009, 0.2815)  7 Co 2.27-2.54, 1 Tc 2.46
Co (0.3194, 0.3194, 0.7185)  7 Co 2.27-2.54, 1 Tc 2.46
Co (0.3991, 0.6806, 0.0000)  7 Co 2.27-2.54, 1 Tc 2.46
Co (0.6806, 0.3991, 0.0000)  7 Co 2.27-2.54, 1 Tc 2.46
Tc (0.3577, 0.3577, 0.3577)  9 Co 2.46-2.61, 1 Tc 2.66
Tc (0.0000, 0.6423, 0.0000)  9 Co 2.46-2.61, 1 Tc 2.66
Tc (0.0000, 0.0000, 0.6423)  9 Co 2.46-2.61, 1 Tc 2.66
Tc (0.6423, 0.0000, 0.0000)  9 Co 2.46-2.61, 1 Tc 2.66
Tc (0.0000, 0.0000, 0.0000)  4 Tc 2.66, 12 Co 2.68



Record 3
Below is Co3Tc at its PBEsol-relaxed geometry, with properties calculated at the meta-GGA SCAN level.

Computed properties:
Uncorrected energy in eV per cell: -86.25
Energy of formation in meV/atom: 181.6
Symmetry: P-6m2 (187)

a b c (Å): 2.5582 2.5582 7.9817
angles (deg): 90.00 90.00 120.00
Last column: nearest neighbours and their distance in Å.
Element x y z (fractional)
Co (0.3333, 0.6667, 0.2408)  9 Co 2.42-2.56, 3 Tc 2.54
Co (0.3333, 0.6667, 0.7592)  9 Co 2.42-2.56, 3 Tc 2.54
Co (0.0000, 0.0000, 0.0000)  12 Co 2.42-2.56
Tc (0.0000, 0.0000, 0.5000)  6 Co 2.54, 6 Tc 2.56



Record 4
Below is CoTc3 at its PBEsol-relaxed geometry, with properties calculated at the meta-GGA SCAN level.

Computed properties:
Uncorrected energy in eV per cell: -122.11
Energy of formation in meV/atom: 94.1
Symmetry: I4/mmm (139)

a b c (Å): 3.7473 3.7473 4.5463
angles (deg): 114.34 114.34 90.00
Last column: nearest neighbours and their distance in Å.
Element x y z (fractional)
Co (0.5000, 0.5000, 0.0000)  12 Tc 2.63-2.65
Tc (0.7500, 0.2500, 0.5000)  4 Co 2.63, 8 Tc 2.63-2.65
Tc (0.2500, 0.7500, 0.5000)  4 Co 2.63, 8 Tc 2.63-2.65
Tc (0.0000, 0.0000, 0.0000)  8 Tc 2.63, 4 Co 2.65



Record 5
Below is Co3Tc at its PBEsol-relaxed geometry, with properties calculated at the meta-GGA SCAN level.

Computed properties:
Uncorrected energy in eV per cell: -86.51
Energy of formation in meV/atom: 116.5
Symmetry: P4/mmm (123)

a b c (Å): 2.5396 2.5396 6.9155
angles (deg): 90.00 90.00 90.00
Last column: nearest neighbours and their distance in Å.
Element x y z (fractional)
Co (0.0000, 0.0000, 0.7360)  8 Co 2.43-2.54, 4 Tc 2.56
Co (0.0000, 0.0000, 0.2640)  8 Co 2.43-2.54, 4 Tc 2.56
Co (0.5000, 0.5000, 0.5000)  12 Co 2.43-2.54
Tc (0.5000, 0.5000, 0.0000)  4 Tc 2.54, 8 Co 2.56



Record 6
Below is CoTc3 at its PBEsol-relaxed geometry, with properties calculated at the meta-GGA SCAN level.

Computed properties:
Uncorrected energy in eV per cell: -122.22
Energy of formation in meV/atom: 66.6
Symmetry: Pmm2 (25)

a b c (Å): 2.6626 4.2191 4.6222
angles (deg): 90.00 90.00 90.00
Last column: nearest neighbours and their distance in Å.
Element x y z (fractional)
Co (0.0000, 0.0000, 0.9943)  10 Tc 2.59-2.71, 2 Co 2.66
Tc (0.0000, 0.5000, 0.3266)  2 Co 2.61, 10 Tc 2.61-2.72
Tc (0.5000, 0.0000, 0.5056)  8 Tc 2.62-2.66, 4 Co 2.62-2.71
Tc (0.5000, 0.5000, 0.8402)  4 Co 2.59, 8 Tc 2.61-2.72



Record 7
Below is CoTc3 at its PBEsol-relaxed geometry, with properties calculated at the meta-GGA SCAN level.

Computed properties:
Uncorrected energy in eV per cell: -733.31
Energy of formation in meV/atom: 66.3
Symmetry: Pmmn (59)

a b c (Å): 4.5661 5.3140 12.8115
angles (deg): 90.00 90.00 90.00
Last column: nearest neighbours and their distance in Å.
Element x y z (fractional)
Co (0.0087, 0.5000, 0.5000)  12 Tc 2.59-2.66
Co (0.3363, 0.5000, 0.1676)  12 Tc 2.62-2.66
Co (0.3363, 0.5000, 0.8324)  12 Tc 2.62-2.66
Co (0.9913, 0.0000, 0.0000)  12 Tc 2.59-2.66
Co (0.6637, 0.0000, 0.6676)  12 Tc 2.62-2.66
Co (0.6637, 0.0000, 0.3324)  12 Tc 2.62-2.66
Tc (0.8319, 0.7479, 0.1636)  8 Tc 2.59-2.69, 4 Co 2.59-2.66
Tc (0.8319, 0.7479, 0.8364)  8 Tc 2.59-2.69, 4 Co 2.59-2.66
Tc (0.5109, 0.7489, 0.5000)  8 Tc 2.60-2.69, 4 Co 2.62-2.65
Tc (0.4891, 0.7511, 0.0000)  8 Tc 2.60-2.69, 4 Co 2.62-2.65
Tc (0.1681, 0.7521, 0.6636)  8 Tc 2.59-2.69, 4 Co 2.59-2.66
Tc (0.1681, 0.7521, 0.3364)  8 Tc 2.59-2.69, 4 Co 2.59-2.66
Tc (0.9998, 0.5000, 0.0000)  8 Tc 2.59-2.69, 4 Co 2.64-2.66
Tc (0.6693, 0.5000, 0.6655)  8 Tc 2.60-2.66, 4 Co 2.62-2.66
Tc (0.6693, 0.5000, 0.3345)  8 Tc 2.60-2.66, 4 Co 2.62-2.66
Tc (0.8319, 0.2521, 0.1636)  8 Tc 2.59-2.69, 4 Co 2.59-2.66
Tc (0.8319, 0.2521, 0.8364)  8 Tc 2.59-2.69, 4 Co 2.59-2.66
Tc (0.5109, 0.2511, 0.5000)  8 Tc 2.60-2.69, 4 Co 2.62-2.65
Tc (0.4891, 0.2489, 0.0000)  8 Tc 2.60-2.69, 4 Co 2.62-2.65
Tc (0.1681, 0.2479, 0.6636)  8 Tc 2.59-2.69, 4 Co 2.59-2.66
Tc (0.1681, 0.2479, 0.3364)  8 Tc 2.59-2.69, 4 Co 2.59-2.66
Tc (0.0002, 0.0000, 0.5000)  8 Tc 2.59-2.69, 4 Co 2.64-2.66
Tc (0.3307, 0.0000, 0.1655)  8 Tc 2.60-2.66, 4 Co 2.62-2.66
Tc (0.3307, 0.0000, 0.8345)  8 Tc 2.60-2.66, 4 Co 2.62-2.66



Record 8
Below is Co3Tc at its PBEsol-relaxed geometry, with properties calculated at the meta-GGA SCAN level.

Computed properties:
Uncorrected energy in eV per cell: -172.67
Energy of formation in meV/atom: 159.0
Symmetry: Pmmn (59)

a b c (Å): 4.0011 4.3463 4.9848
angles (deg): 90.00 90.00 90.00
Last column: nearest neighbours and their distance in Å.
Element x y z (fractional)
Co (0.5000, 0.3275, 0.0000)  8 Co 2.46-2.54, 4 Tc 2.48-2.49
Co (0.0000, 0.1640, 0.7518)  8 Co 2.46-2.54, 4 Tc 2.48-2.50
Co (0.5000, 0.8360, 0.7482)  8 Co 2.46-2.54, 4 Tc 2.48-2.50
Co (0.0000, 0.6725, 0.5000)  8 Co 2.46-2.54, 4 Tc 2.48-2.49
Co (0.0000, 0.1640, 0.2482)  8 Co 2.46-2.54, 4 Tc 2.48-2.50
Co (0.5000, 0.8360, 0.2518)  8 Co 2.46-2.54, 4 Tc 2.48-2.50
Tc (0.0000, 0.6630, 0.0000)  12 Co 2.48-2.50
Tc (0.5000, 0.3370, 0.5000)  12 Co 2.48-2.50



Record 9
Below is CoTc5 at its PBEsol-relaxed geometry, with properties calculated at the meta-GGA SCAN level.

Computed properties:
Uncorrected energy in eV per cell: -192.28
Energy of formation in meV/atom: 53.6
Symmetry: Amm2 (38)

a b c (Å): 2.6881 4.2547 7.1125
angles (deg): 90.00 100.89 90.00
Last column: nearest neighbours and their distance in Å.
Element x y z (fractional)
Co (0.9977, 0.0000, 0.9953)  10 Tc 2.59-2.68, 2 Co 2.69
Tc (0.7768, 0.5000, 0.5535)  12 Tc 2.65-2.74
Tc (0.6639, 0.0000, 0.3277)  10 Tc 2.63-2.79, 2 Co 2.68
Tc (0.4477, 0.5000, 0.8954)  4 Co 2.61, 8 Tc 2.62-2.74
Tc (0.3388, 0.0000, 0.6775)  2 Co 2.59, 10 Tc 2.62-2.79
Tc (0.1086, 0.5000, 0.2172)  10 Tc 2.62-2.71, 2 Co 2.63



Record 10
Below is CoTc3 at its PBEsol-relaxed geometry, with properties calculated at the meta-GGA SCAN level.

Computed properties:
Uncorrected energy in eV per cell: -489.28
Energy of formation in meV/atom: 41.0
Symmetry: P6_3/mmc (194)

a b c (Å): 5.2956 5.2956 8.5024
angles (deg): 90.00 90.00 120.00
Last column: nearest neighbours and their distance in Å.
Element x y z (fractional)
Co (0.0000, 0.0000, 0.0000)  12 Tc 2.61-2.65
Co (0.0000, 0.0000, 0.5000)  12 Tc 2.61-2.65
Co (0.6667, 0.3333, 0.7500)  12 Tc 2.62-2.65
Co (0.3333, 0.6667, 0.2500)  12 Tc 2.62-2.65
Tc (0.0000, 0.5000, 0.0000)  4 Co 2.62-2.65, 8 Tc 2.62-2.65
Tc (0.0000, 0.5000, 0.5000)  4 Co 2.62-2.65, 8 Tc 2.62-2.65
Tc (0.8350, 0.1650, 0.2500)  4 Co 2.61-2.65, 8 Tc 2.62-2.67
Tc (0.8350, 0.6700, 0.2500)  4 Co 2.61-2.65, 8 Tc 2.62-2.67
Tc (0.6700, 0.8350, 0.7500)  4 Co 2.61-2.65, 8 Tc 2.62-2.67
Tc (0.5000, 0.5000, 0.0000)  4 Co 2.62-2.65, 8 Tc 2.62-2.65
Tc (0.5000, 0.5000, 0.5000)  4 Co 2.62-2.65, 8 Tc 2.62-2.65
Tc (0.5000, 0.0000, 0.0000)  4 Co 2.62-2.65, 8 Tc 2.62-2.65
Tc (0.5000, 0.0000, 0.5000)  4 Co 2.62-2.65, 8 Tc 2.62-2.65
Tc (0.3300, 0.1650, 0.2500)  4 Co 2.61-2.65, 8 Tc 2.62-2.67
Tc (0.1650, 0.3300, 0.7500)  4 Co 2.61-2.65, 8 Tc 2.62-2.67
Tc (0.1650, 0.8350, 0.7500)  4 Co 2.61-2.65, 8 Tc 2.62-2.67



Record 11
Below is CoTc3 at its PBEsol-relaxed geometry, with properties calculated at the meta-GGA SCAN level.

Computed properties:
Uncorrected energy in eV per cell: -122.09
Energy of formation in meV/atom: 97.9
Symmetry: Imm2 (44)

a b c (Å): 2.6607 4.6162 4.9950
angles (deg): 117.52 105.45 90.00
Last column: nearest neighbours and their distance in Å.
Element x y z (fractional)
Co (0.0000, 0.9983, 0.0000)  10 Tc 2.58-2.69, 2 Co 2.66
Tc (0.2551, 0.9206, 0.5101)  3 Co 2.58-2.65, 9 Tc 2.59-2.67
Tc (0.5000, 0.5040, 0.0000)  8 Tc 2.59-2.66, 4 Co 2.64-2.69
Tc (0.7449, 0.4104, 0.4899)  3 Co 2.58-2.65, 9 Tc 2.59-2.67



Record 12
Below is CoTc3 at its PBEsol-relaxed geometry, with properties calculated at the meta-GGA SCAN level.

Computed properties:
Uncorrected energy in eV per cell: -122.14
Energy of formation in meV/atom: 85.9
Symmetry: Pm-3m (221)

a b c (Å): 3.7264 3.7264 3.7264
angles (deg): 90.00 90.00 90.00
Last column: nearest neighbours and their distance in Å.
Element x y z (fractional)
Co (0.0000, 0.0000, 0.0000)  12 Tc 2.63
Tc (0.0000, 0.5000, 0.5000)  8 Tc 2.63, 4 Co 2.63
Tc (0.5000, 0.0000, 0.5000)  4 Co 2.63, 8 Tc 2.63
Tc (0.5000, 0.5000, 0.0000)  8 Tc 2.63, 4 Co 2.63